No. 1
The following is a PBE-GGA calculation of an optimized crystal structure of LaIn3Pt, from the Alexandria database.

Values from the calculation:
As for the space group: No. 62. As for the energy above the lowest structure with this stoichiometry: 0 meV/atom. The value obtained for the energy of formation is -617 meV/atom.

Cell lengths 4.557, 9.127, 11.889 Å; angles 90.00, 90.00, 90.00 degrees
Fractional coordinates of all 20 atoms:
In: 0.250 0.394 0.691
In: 0.250 0.563 0.088
In: 0.750 0.937 0.588
In: 0.750 0.437 0.912
In: 0.250 0.857 0.212
In: 0.250 0.063 0.412
In: 0.750 0.143 0.788
In: 0.750 0.106 0.191
In: 0.750 0.606 0.309
In: 0.250 0.894 0.809
In: 0.250 0.357 0.288
In: 0.750 0.643 0.712
La: 0.250 0.695 0.509
La: 0.750 0.305 0.491
La: 0.750 0.805 0.009
La: 0.250 0.195 0.991
Pt: 0.250 0.602 0.856
Pt: 0.750 0.898 0.356
Pt: 0.250 0.102 0.644
Pt: 0.750 0.398 0.144

=====

No. 2
The following is a PBE-GGA calculation of an optimized crystal structure of Ti2CrC2, from the Alexandria database.

Values from the calculation:
As for the space group: No. 12. The value obtained for the energy of formation is -550 meV/atom.

Cell lengths 4.370, 5.241, 5.884 Å; angles 111.22, 90.00, 114.64 degrees
Fractional coordinates of all 10 atoms:
Ti: 0.329 0.658 0.407
Ti: 0.671 0.342 0.593
Ti: 0.018 0.035 0.757
Ti: 0.982 0.965 0.243
C: 0.171 0.342 0.590
C: 0.506 0.012 0.760
C: 0.829 0.658 0.410
C: 0.494 0.988 0.240
Cr: 0.353 0.707 0.897
Cr: 0.647 0.293 0.103

=====

Question: Number 1 is which compound?
Answer: LaIn3Pt